The following is a DFT calculation (PBE with a Hubbard U) of crystalline Mn2Al2O7 at its relaxed geometry.

Values from the calculation:
Total moment   11.986 μB per cell
Space group   Fd-3m
ΔE to the lowest computed polymorph   1.57 eV per formula unit

```
Mn2Al2O7
1.0
-1.418 -5.836 -2.849
-1.287 -5.317 3.777
-6.177 -2.438 0.313
Al O Mn
4 14 4
Cartesian
-2.463 -7.275 0.620
-4.842 -5.576 2.201
-4.908 -5.836 -1.112
-5.551 -8.494 0.776
-2.990 -1.466 0.174
-5.407 -4.369 0.450
-0.823 -2.742 1.710
-0.881 -2.973 -1.227
-1.451 -5.329 0.447
-6.124 -7.329 2.553
-3.475 -9.222 0.792
-2.758 -6.262 -1.311
-6.197 -7.619 -1.136
-6.662 -10.193 0.932
-3.560 -3.823 1.848
-2.685 -5.972 2.378
-3.618 -4.053 -1.089
-4.441 -6.795 0.621
-1.110 -1.699 0.155
-1.754 -4.357 2.044
-1.819 -4.617 -1.269
-4.199 -2.918 0.312
```